Record 1
A geometry-optimized Pm3Y2Tm8 structure. Source: Alexandria, functional PBE.

Cell: 6.134 6.133 11.724 Å, 69.62 85.05 80.39°
Fractional coordinates of all 13 atoms:
1 Tm 0.692 0.462 0.385
2 Tm 0.925 0.619 0.844
3 Tm 0.075 0.381 0.156
4 Tm 0.846 0.232 0.690
5 Tm 0.154 0.768 0.310
6 Tm 0.386 0.925 0.767
7 Tm 0.614 0.075 0.233
8 Tm 0.308 0.538 0.615
9 Pm 0.538 0.691 0.079
10 Pm 0.462 0.309 0.921
11 Pm 0.000 0.000 0.000
12 Y 0.230 0.155 0.462
13 Y 0.770 0.845 0.538

space group	No. 2
distance to the lowest polymorph of the same formula	0.0	meV/atom
spin magnetization	0.00	μB per formula unit
DFT total energy	-0.354	Ry/atom
calculated formation energy	0.0265	eV per atom

Record 2
A geometry-optimized Ca2HgAu2 structure. Source: Alexandria, functional PBE.

Cell: 5.763 5.763 5.784 Å, 60.12 60.12 90.00°
Fractional coordinates of all 5 atoms:
1 Ca 0.250 0.750 0.500
2 Ca 0.750 0.250 0.500
3 Au 0.340 0.340 0.320
4 Au 0.660 0.660 0.680
5 Hg 0.000 0.000 0.000

space group	No. 139
spin magnetization	0.00	μB per formula unit
DFT total energy	-0.200	Ry/atom
calculated formation energy	-0.5501	eV per atom